No. 1
Compound: Li6CuF8
Source: Alexandria via LeMat-Bulk
Functional: SCAN
Structure: single point on PBEsol structure

Summary:
V ... 134.5 Å³/f.u.
E_form (uncorrected) ... -272.7 kJ/mol of atoms
Size of the total moment ... 0.0667 μB/atom
Energy above the lowest structure with this stoichiometry ... 0.004 eV/atom
E_tot ... -6.684 eV per atom

Cell lengths 8.1325, 8.1325, 8.1325 Å; angles 90.00, 90.00, 90.00 degrees
With the nearest neighbours (Å) after each atom.
Space group Fm-3m (No. 225)
Inequivalent atoms, fractional coordinates:
Li1 0.0000 0.2500 0.2500 [24 per cell]  6 F 2.03
Cu1 0.0000 0.0000 0.0000 [4 per cell]  6 F 1.99
F1 0.0000 0.0000 0.2442 [24 per cell]  1 Cu 1.99, 4 Li 2.03
F2 0.2500 0.2500 0.2500 [8 per cell]  6 Li 2.03

=====

No. 2
Compound: NaSbO2
Source: Alexandria via LeMat-Bulk
Functional: SCAN
Structure: single point on PBEsol structure

Summary:
V ... 65.0 Å³/f.u.
E_form (uncorrected) ... -155.6 kJ/mol of atoms
Size of the total moment ... 0.0000 μB/atom
E_tot ... -15.098 eV per atom

Cell lengths 4.7399, 19.7175, 5.5611 Å; angles 90.00, 90.00, 90.00 degrees
With the nearest neighbours (Å) after each atom.
Space group Pbca (No. 61)
Inequivalent atoms, fractional coordinates:
Na1 0.1732 0.2019 0.0412 [8 per cell]  5 O 2.31-2.42
Sb1 0.1914 0.0868 0.5255 [8 per cell]  3 O 1.93-2.04
O1 0.1078 0.0896 0.8809 [8 per cell]  2 Sb 2.02-2.04
O2 0.1686 0.1829 0.4674 [8 per cell]  1 Sb 1.93

=====

No. 3
Compound: BaFeRh3
Source: Alexandria via LeMat-Bulk
Functional: SCAN
Structure: single point on PBEsol structure

Summary:
V ... 96.8 Å³/f.u.
Formation enthalpy at 0 K ... 0.37 eV per atom
Size of the total moment ... 0.9583 μB/atom
E_tot ... -31.428 eV per atom

Cell lengths 4.5923, 4.5923, 4.5923 Å; angles 90.00, 90.00, 90.00 degrees
With the nearest neighbours (Å) after each atom.
Space group Pm-3m (No. 221)
Inequivalent atoms, fractional coordinates:
Ba1 0.0000 0.0000 0.0000 [1 per cell]  12 Rh 3.25
Fe1 0.5000 0.5000 0.5000 [1 per cell]  6 Rh 2.30
Rh1 0.0000 0.5000 0.5000 [3 per cell]  2 Fe 2.30

=====

No. 4
Compound: Li2Mn3TeO8
Source: Alexandria via LeMat-Bulk
Functional: SCAN
Structure: single point on PBEsol structure

Summary:
V ... 156.4 Å³/f.u.
E_form (uncorrected) ... -183.1 kJ/mol of atoms
Size of the total moment ... 0.7873 μB/atom
Energy above the lowest structure with this stoichiometry ... 0.016 eV/atom
E_tot ... -12.373 eV per atom

Cell lengths 10.4411, 5.7376, 6.1083 Å; angles 90.00, 121.24, 90.00 degrees
With the nearest neighbours (Å) after each atom.
Space group C2/m (No. 12)
Inequivalent atoms, fractional coordinates:
Li1 0.1259 0.0000 0.3507 [4 per cell]  3 O 1.92-1.93
Mn1 0.0000 0.5000 0.0000 [2 per cell]  6 O 1.91-1.95
Mn2 0.2500 0.2500 0.0000 [4 per cell]  4 O 1.93-1.95
Te1 0.0000 0.5000 0.5000 [2 per cell]  6 O 2.12-2.17
O1 0.0020 0.2703 0.7744 [8 per cell]  1 Mn 1.91, 1 Li 1.93, 1 Te 2.12
O2 0.2180 0.5000 0.1782 [4 per cell]  3 Mn 1.93-1.95
O3 0.2390 0.5000 0.7741 [4 per cell]  1 Li 1.92, 2 Mn 1.95

=====

No. 5
Compound: LiRu3
Source: Alexandria via LeMat-Bulk
Functional: SCAN
Structure: single point on PBEsol structure

Summary:
V ... 51.1 Å³/f.u.
Formation enthalpy at 0 K ... 0.29 eV per atom
Size of the total moment ... 0.0002 μB/atom
E_tot ... -26.426 eV per atom

Cell lengths 3.6130, 3.6130, 7.8273 Å; angles 90.00, 90.00, 90.00 degrees
With the nearest neighbours (Å) after each atom.
Space group I4/mmm (No. 139)
Inequivalent atoms, fractional coordinates:
Li1 0.0000 0.0000 0.0000 [2 per cell]  12 Ru 2.55-2.66
Ru1 0.0000 0.0000 0.5000 [2 per cell]  4 Li 2.55, 8 Ru 2.66
Ru2 0.0000 0.5000 0.2500 [4 per cell]  8 Ru 2.55-2.66, 4 Li 2.66

=====

No. 6
Compound: TlInMo2
Source: Alexandria via LeMat-Bulk
Functional: SCAN
Structure: single point on PBEsol structure

Summary:
V ... 72.7 Å³/f.u.
Formation enthalpy at 0 K ... 0.66 eV per atom
Size of the total moment ... 0.0000 μB/atom
Energy above the lowest structure with this stoichiometry ... 0.295 eV/atom
E_tot ... -43.216 eV per atom

Cell lengths 9.5583, 2.9913, 5.1728 Å; angles 90.00, 100.43, 90.00 degrees
With the nearest neighbours (Å) after each atom.
Space group C2/m (No. 12)
Inequivalent atoms, fractional coordinates:
Tl1 0.0000 0.0000 0.0000 [2 per cell]  6 Mo 2.93-2.94, 4 In 2.99, 2 Tl 2.99
In1 0.0000 0.5000 0.5000 [2 per cell]  6 Mo 2.90, 4 Tl 2.99, 2 In 2.99
Mo1 0.2492 0.0000 0.7414 [4 per cell]  3 In 2.90, 6 Mo 2.91-3.06, 3 Tl 2.93-2.94

=====

No. 7
Compound: Cs2CrCdSb
Source: Alexandria via LeMat-Bulk
Functional: SCAN
Structure: single point on PBEsol structure

Summary:
V ... 273.7 Å³/f.u.
E_form (uncorrected) ... 7.1 kJ/mol of atoms
Size of the total moment ... 0.9688 μB/atom
E_tot ... -32.262 eV per atom

Cell lengths 7.3335, 7.3335, 5.0897 Å; angles 90.00, 90.00, 90.00 degrees
With the nearest neighbours (Å) after each atom.
Space group P4/mmm (No. 123)
Inequivalent atoms, fractional coordinates:
Cs1 0.0000 0.5000 0.0000 [2 per cell]  2 Sb 3.67
Cr1 0.0000 0.0000 0.5000 [1 per cell]  2 Sb 2.54
Cd1 0.5000 0.5000 0.5000 [1 per cell]  8 Cs 4.46
Sb1 0.0000 0.0000 0.0000 [1 per cell]  2 Cr 2.54

=====

No. 8
Compound: Li2La2Mg
Source: Alexandria via LeMat-Bulk
Functional: SCAN
Structure: single point on PBEsol structure

Summary:
V ... 135.4 Å³/f.u.
Formation enthalpy at 0 K ... 0.11 eV per atom
Size of the total moment ... 0.1991 μB/atom
Energy above the lowest structure with this stoichiometry ... 0.082 eV/atom
E_tot ... -19.084 eV per atom

Cell lengths 3.5559, 3.5559, 21.4118 Å; angles 90.00, 90.00, 90.00 degrees
With the nearest neighbours (Å) after each atom.
Space group I4/mmm (No. 139)
Inequivalent atoms, fractional coordinates:
Li1 0.0000 0.5000 0.2500 [4 per cell]  4 Li 2.51
La1 0.0000 0.0000 0.1090 [4 per cell]  4 Mg 3.43, 4 Li 3.50, 4 La 3.56
Mg1 0.0000 0.0000 0.5000 [2 per cell]  8 La 3.43, 4 Mg 3.56

=====

No. 9
Compound: K3LuF6
Source: Alexandria via LeMat-Bulk
Functional: SCAN
Structure: single point on PBEsol structure

Summary:
V ... 177.8 Å³/f.u.
E_form (uncorrected) ... -346.2 kJ/mol of atoms
Size of the total moment ... 0.0271 μB/atom
E_tot ... -13.745 eV per atom

Cell lengths 6.2159, 6.4646, 10.7360 Å; angles 90.00, 124.47, 90.00 degrees
With the nearest neighbours (Å) after each atom.
Space group P2_1/c (No. 14)
Inequivalent atoms, fractional coordinates:
K1 0.0000 0.0000 0.0000 [2 per cell]  6 F 2.55-2.63
K2 0.2244 0.0532 0.7432 [4 per cell]  5 F 2.61-2.82
Lu1 0.5000 0.0000 0.5000 [2 per cell]  6 F 2.10-2.11
F1 0.1791 0.1781 0.4516 [4 per cell]  1 Lu 2.10
F2 0.2565 0.7365 0.4260 [4 per cell]  1 Lu 2.11
F3 0.3945 0.0585 0.2793 [4 per cell]  1 Lu 2.10

=====

No. 10
Compound: As2Pb2Au
Source: Alexandria via LeMat-Bulk
Functional: SCAN
Structure: single point on PBEsol structure

Summary:
V ... 124.8 Å³/f.u.
Formation enthalpy at 0 K ... -0.02 eV per atom
Size of the total moment ... 0.0000 μB/atom
E_tot ... -52.236 eV per atom

Cell lengths 6.5081, 6.5081, 5.8912 Å; angles 90.00, 90.00, 90.00 degrees
With the nearest neighbours (Å) after each atom.
Space group P4/mbm (No. 127)
Inequivalent atoms, fractional coordinates:
As1 0.1337 0.3663 0.0000 [4 per cell]  1 As 2.46, 2 Au 2.54
Pb1 0.1915 0.3085 0.5000 [4 per cell]  2 As 2.99, 4 Pb 3.34
Au1 0.0000 0.0000 0.0000 [2 per cell]  4 As 2.54

=====

No. 11
Compound: MgTl2Sb
Source: Alexandria via LeMat-Bulk
Functional: SCAN
Structure: single point on PBEsol structure

Summary:
V ... 106.4 Å³/f.u.
E_form (uncorrected) ... -4.0 kJ/mol of atoms
Size of the total moment ... 0.0000 μB/atom
Energy above the lowest structure with this stoichiometry ... 0.000 eV/atom
E_tot ... -46.779 eV per atom

Cell lengths 4.4567, 4.4567, 5.3576 Å; angles 90.00, 90.00, 90.00 degrees
With the nearest neighbours (Å) after each atom.
Space group P4/mmm (No. 123)
Inequivalent atoms, fractional coordinates:
Mg1 0.0000 0.0000 0.0000 [1 per cell]  4 Sb 3.15, 8 Tl 3.48
Tl1 0.0000 0.5000 0.5000 [2 per cell]  4 Tl 3.15, 4 Sb 3.48, 4 Mg 3.48
Sb1 0.5000 0.5000 0.0000 [1 per cell]  4 Mg 3.15, 8 Tl 3.48

=====

No. 12
Compound: LiAlZn
Source: Alexandria via LeMat-Bulk
Functional: SCAN
Structure: single point on PBEsol structure

Summary:
V ... 44.3 Å³/f.u.
Formation enthalpy at 0 K ... -0.13 eV per atom
Size of the total moment ... 0.0003 μB/atom
Energy above the lowest structure with this stoichiometry ... 0.006 eV/atom
E_tot ... -8.020 eV per atom

Cell lengths 2.8006, 3.9738, 7.9697 Å; angles 90.00, 90.00, 90.00 degrees
With the nearest neighbours (Å) after each atom.
Space group Imm2 (No. 44)
Inequivalent atoms, fractional coordinates:
Li1 0.0000 0.0000 0.0000 [2 per cell]  5 Al 2.64-2.78, 5 Zn 2.66-2.77, 2 Li 2.80
Al1 0.0000 0.0000 0.3309 [2 per cell]  5 Li 2.64-2.78, 5 Zn 2.68-2.76, 2 Al 2.80
Zn1 0.0000 0.0000 0.6666 [2 per cell]  5 Li 2.66-2.77, 5 Al 2.68-2.76, 2 Zn 2.80